TaAlCl: optimized geometry, PBE.

```
TaAlCl
1.0
-2.597 1.390 -0.674
0.133 -3.018 0.035
-2.086 0.001 8.037
Cl Al Ta
1 1 1
Direct
0.667 0.333 0.430
0.000 0.000 0.922
0.333 0.667 0.647
```

Formation energy (no corrections): -0.2407 eV per atom
Relative energy among the computed polymorphs: 0.00 kJ/mol of atoms
Space-group type: P3m1, No. 156
VASP energy: -6.05 eV per atom
Total magnetization: 0.0 Bohr magnetons per cell